[1]
A geometry-optimized TcIr5Ru4 structure, computed with PBE.

abc: 6.171 6.171 6.171
angles: 100.89 100.89 128.48
Fractional positions:
Tc  0.000  0.000  0.000
Ir  0.033  0.708  0.246
Ir  0.462  0.787  0.754
Ir  0.493  0.493  0.000
Ir  0.708  0.462  0.675
Ir  0.787  0.033  0.325
Ru  0.213  0.960  0.677
Ru  0.283  0.536  0.323
Ru  0.536  0.213  0.253
Ru  0.960  0.283  0.747

Calculated values
Energy above the lowest structure with this stoichiometry: 198 kJ/mol of formula units

=====

[2]
A geometry-optimized Tc2Ir6Ru structure, computed with PBE.

abc: 4.733 4.733 8.209
angles: 106.91 106.91 48.14
Fractional positions:
Tc  0.166  0.166  0.224
Tc  0.834  0.834  0.776
Ir  0.166  0.166  0.892
Ir  0.169  0.169  0.555
Ir  0.499  0.499  0.327
Ir  0.501  0.501  0.673
Ir  0.831  0.831  0.445
Ir  0.834  0.834  0.108
Ru  0.500  0.500  0.000

Calculated values
Energy above the lowest structure with this stoichiometry: 0 kJ/mol of formula units

=====

[3]
A geometry-optimized TcIr6Ru2 structure, computed with PBE.

abc: 6.097 6.097 8.208
angles: 102.94 102.94 25.83
Fractional positions:
Tc  0.000  0.000  0.000
Ir  0.000  0.000  0.328
Ir  0.000  0.000  0.672
Ir  0.334  0.334  0.108
Ir  0.334  0.334  0.446
Ir  0.666  0.666  0.554
Ir  0.666  0.666  0.892
Ru  0.335  0.335  0.778
Ru  0.665  0.665  0.222

Calculated values
Energy above the lowest structure with this stoichiometry: 0 kJ/mol of formula units

=====

Calculated values (kJ/mol of formula units) of formation enthalpy at 0 K for the records, taken in order: 544 -96 -42.
Calculated values (μB per cell) of size of the total moment for the records, taken in order: 0.00 0.00 0.00.